# 1
Density functional theory data (GGA-PBE) for a relaxed structure of NbCrFe.

a = 7.909 Å, b = 4.891 Å, c = 4.891 Å
α = 59.10°, β = 90.00°, γ = 90.00°
Element x y z (fractional)
Nb1 0.188 0.000 0.000
Nb2 0.309 0.332 0.332
Nb3 0.691 0.332 0.332
Nb4 0.812 0.000 0.000
Cr1 0.246 0.667 0.667
Cr2 0.500 0.327 0.836
Cr3 0.500 0.836 0.327
Cr4 0.754 0.667 0.667
Fe1 0.000 0.003 0.496
Fe2 0.000 0.494 0.494
Fe3 0.000 0.496 0.003
Fe4 0.500 0.837 0.837

Calculated values
- Crystal system: orthorhombic
- Excess energy over the best structure of this formula in the dataset: 0 kJ/mol of formula units
- DOS(E_F): 1.40 states/eV/atom



# 2
Density functional theory data (GGA-PBE) for a relaxed structure of NbCrFe2.

a = 5.300 Å, b = 5.300 Å, c = 5.300 Å
α = 103.11°, β = 103.11°, γ = 123.11°
Element x y z (fractional)
Nb1 0.000 0.000 0.000
Nb2 0.750 0.250 0.500
Cr1 0.250 0.750 0.500
Cr2 0.500 0.500 0.000
Fe1 0.158 0.625 0.033
Fe2 0.375 0.408 0.533
Fe3 0.592 0.125 0.967
Fe4 0.875 0.842 0.467

Calculated values
- Crystal system: tetragonal
- Excess energy over the best structure of this formula in the dataset: 176 kJ/mol of formula units
- DOS(E_F): 1.37 states/eV/atom



# 3
Density functional theory data (GGA-PBE) for a relaxed structure of NbCrFe.

a = 4.856 Å, b = 4.856 Å, c = 4.856 Å
α = 121.37°, β = 118.90°, γ = 89.78°
Element x y z (fractional)
Nb1 0.375 0.125 0.250
Nb2 0.625 0.875 0.750
Cr1 0.000 0.000 0.500
Cr2 0.000 0.500 0.000
Fe1 0.000 0.500 0.500
Fe2 0.500 0.500 0.000

Calculated values
- Crystal system: orthorhombic
- Excess energy over the best structure of this formula in the dataset: 1 kJ/mol of formula units
- DOS(E_F): 1.47 states/eV/atom



# 4
Density functional theory data (GGA-PBE) for a relaxed structure of NbCrFe4.

a = 6.088 Å, b = 3.826 Å, c = 6.492 Å
α = 90.00°, β = 90.00°, γ = 90.00°
Element x y z (fractional)
Nb1 0.250 0.000 0.135
Nb2 0.750 0.000 0.865
Cr1 0.250 0.000 0.757
Cr2 0.750 0.000 0.243
Fe1 0.000 0.000 0.500
Fe2 0.041 0.500 0.821
Fe3 0.250 0.500 0.462
Fe4 0.459 0.500 0.821
Fe5 0.500 0.000 0.500
Fe6 0.541 0.500 0.179
Fe7 0.750 0.500 0.538
Fe8 0.959 0.500 0.179

Calculated values
- Crystal system: orthorhombic
- DOS(E_F): 0.99 states/eV/atom



# 5
Density functional theory data (GGA-PBE) for a relaxed structure of NbCrFe.

a = 4.950 Å, b = 4.950 Å, c = 4.950 Å
α = 144.15°, β = 144.15°, γ = 51.60°
Element x y z (fractional)
Nb1 0.000 0.000 0.000
Cr1 0.326 0.326 0.000
Fe1 0.676 0.676 0.000

Calculated values
- Crystal system: tetragonal
- Excess energy over the best structure of this formula in the dataset: 71 kJ/mol of formula units
- DOS(E_F): 1.45 states/eV/atom



# 6
Density functional theory data (GGA-PBE) for a relaxed structure of NbCrFe2.

a = 2.766 Å, b = 2.766 Å, c = 6.611 Å
α = 90.00°, β = 90.00°, γ = 90.00°
Element x y z (fractional)
Nb1 0.000 0.000 0.000
Cr1 0.000 0.000 0.500
Fe1 0.500 0.500 0.297
Fe2 0.500 0.500 0.703

Calculated values
- Crystal system: tetragonal
- Excess energy over the best structure of this formula in the dataset: 0 kJ/mol of formula units
- DOS(E_F): 0.96 states/eV/atom



# 7
Density functional theory data (GGA-PBE) for a relaxed structure of NbCrFe.

a = 6.034 Å, b = 5.050 Å, c = 4.731 Å
α = 76.10°, β = 54.34°, γ = 49.56°
Element x y z (fractional)
Nb1 0.164 0.836 0.164
Nb2 0.836 0.164 0.836
Cr1 0.250 0.250 0.250
Cr2 0.750 0.750 0.750
Fe1 0.354 0.354 0.646
Fe2 0.646 0.646 0.354

Calculated values
- Crystal system: orthorhombic
- Excess energy over the best structure of this formula in the dataset: 151 kJ/mol of formula units
- DOS(E_F): 1.29 states/eV/atom



# 8
Density functional theory data (GGA-PBE) for a relaxed structure of NbCrFePb2.

a = 5.536 Å, b = 5.536 Å, c = 4.402 Å
α = 90.00°, β = 90.00°, γ = 90.00°
Element x y z (fractional)
Nb1 0.000 0.000 0.000
Cr1 0.500 0.500 0.500
Fe1 0.000 0.000 0.500
Pb1 0.000 0.500 0.000
Pb2 0.500 0.000 0.000

Calculated values
- Crystal system: tetragonal
- DOS(E_F): 1.05 states/eV/atom



It is found that the E values, taken in the order of the records, are -9.48 -8.64 -9.47 -8.74 -9.23 -9.10 -8.95 -5.83 eV per atom.
It is found that the calculated formation energy values, taken in the order of the records, are -0.27 2.05 -0.26 1.08 0.46 0.23 1.29 6.40 eV/f.u..